{"formula": "AcTl2Hg2", "functional": "GGA-PBE", "state": "optimized geometry", "lattice_angstrom": [[5.062, 0.000, 0.000], [2.456, 4.815, 0.000], [2.461, 0.724, 6.103]], "species": ["Ac", "Tl", "Tl", "Hg", "Hg"], "frac_coords": [[0.000, 0.000, 0.000], [0.201, 0.216, 0.380], [0.799, 0.784, 0.620], [0.420, 0.400, 0.764], [0.580, 0.600, 0.236]], "n_ef_per_ev_cell": 2.4, "de_polymorph_ev_per_atom": 0.000, "magmom_total_mub_per_fu": 0.000, "formation_energy_kj_per_mol_atoms": -26.1}

{"formula": "TmHf2Co", "functional": "GGA-PBE", "state": "optimized geometry", "lattice_angstrom": [[1.734, 1.001, 8.496], [-1.734, 1.001, 8.496], [0.000, -2.003, 8.496]], "species": ["Tm", "Hf", "Hf", "Co"], "frac_coords": [[0.000, 0.000, 0.000], [0.557, 0.557, 0.557], [0.771, 0.771, 0.771], [0.163, 0.163, 0.163]], "n_ef_per_ev_cell": 5.4, "magmom_total_mub_per_fu": 0.001, "formation_energy_kj_per_mol_atoms": 3.7}

{"formula": "Ac7Pm2Pr3", "functional": "GGA-PBE", "state": "optimized geometry", "lattice_angstrom": [[7.002, 0.000, 0.000], [0.000, 3.800, 0.000], [-2.000, 0.000, 18.566]], "species": ["Ac", "Ac", "Ac", "Ac", "Ac", "Ac", "Ac", "Pm", "Pm", "Pr", "Pr", "Pr"], "frac_coords": [[0.000, 0.000, 0.000], [0.228, 0.500, 0.175], [0.253, 0.500, 0.495], [0.276, 0.000, 0.831], [0.724, 0.000, 0.169], [0.747, 0.500, 0.505], [0.772, 0.500, 0.825], [0.058, 0.500, 0.669], [0.942, 0.500, 0.331], [0.460, 0.000, 0.341], [0.500, 0.500, 0.000], [0.540, 0.000, 0.659]], "n_ef_per_ev_cell": 18.6, "magmom_total_mub_per_fu": 0.000, "formation_energy_kj_per_mol_atoms": 9.0}

{"formula": "Na2SrCeSe4", "functional": "GGA-PBE", "state": "optimized geometry", "lattice_angstrom": [[7.352, 0.000, 0.000], [0.000, 4.342, 0.000], [-2.532, 0.000, 7.070]], "species": ["Na", "Na", "Sr", "Ce", "Se", "Se", "Se", "Se"], "frac_coords": [[0.000, 0.000, 0.000], [0.000, 0.500, 0.500], [0.500, 0.000, 0.500], [0.500, 0.500, 0.000], [0.263, 0.500, 0.231], [0.267, 0.000, 0.773], [0.733, 0.000, 0.227], [0.737, 0.500, 0.769]], "magmom_total_mub_per_fu": 0.000, "e_form_raw_kj_per_mol_fu": -1220}

{"formula": "Zr2ZnAs", "functional": "GGA-PBE", "state": "optimized geometry", "lattice_angstrom": [[1.838, 1.061, 7.250], [-1.838, 1.061, 7.250], [0.000, -2.123, 7.250]], "species": ["Zr", "Zr", "Zn", "As"], "frac_coords": [[0.000, 0.000, 0.000], [0.226, 0.226, 0.226], [0.756, 0.756, 0.756], [0.481, 0.481, 0.481]], "n_ef_per_ev_cell": 1.7, "magmom_total_mub_per_fu": 0.000, "formation_energy_kj_per_mol_atoms": -15.2}

{"formula": "CdCu2Rh2", "functional": "GGA-PBE", "state": "optimized geometry", "lattice_angstrom": [[7.091, 0.000, 0.000], [0.000, 7.091, 0.000], [0.000, 0.000, 2.952]], "species": ["Cd", "Cd", "Cu", "Cu", "Cu", "Cu", "Rh", "Rh", "Rh", "Rh"], "frac_coords": [[0.000, 0.000, 0.000], [0.500, 0.500, 0.000], [0.127, 0.373, 0.000], [0.373, 0.873, 0.000], [0.627, 0.127, 0.000], [0.873, 0.627, 0.000], [0.168, 0.668, 0.500], [0.332, 0.168, 0.500], [0.668, 0.832, 0.500], [0.832, 0.332, 0.500]], "n_ef_per_ev_cell": 12.7, "de_polymorph_ev_per_atom": 0.000, "magmom_total_mub_per_fu": 0.000, "formation_energy_kj_per_mol_atoms": 12.2}